VASP calculation (PBE) on an optimized crystal structure of MnTe4Br.

Computed properties:
ΔE_f (raw) (meV/atom): 466
Magnetization (μB per cell): 4.46
D(E_F) (states/eV/atom): 1.165

```
MnTe4Br
1.0
-6.224 -0.990 0.600
-4.109 3.806 -2.950
-3.349 -2.163 -4.917
Br Te Mn
1 4 1
direct
0.750 0.750 0.750 Br
0.375 0.375 0.875 Te
0.375 0.375 0.375 Te
0.875 0.375 0.375 Te
0.375 0.875 0.375 Te
0.000 0.000 0.000 Mn
```

=====

VASP calculation (PBE) on an optimized crystal structure of MnTeBr2.

Computed properties:
ΔE_f (raw) (meV/atom): 412
Magnetization (μB per cell): 3.06
D(E_F) (states/eV/atom): 0.566

```
MnTeBr2
1.0
0.000 3.722 3.722
3.722 0.000 3.722
3.722 3.722 0.000
Br Te Mn
2 1 1
direct
0.750 0.750 0.750 Br
0.250 0.250 0.250 Br
0.500 0.500 0.500 Te
0.000 0.000 0.000 Mn
```

=====

- Which value of D(E_F) does entry 1 give?
  1.165 states/eV/atom

=====

- Among the records above, which one has the highest ΔE_f (raw)?
  MnTe4Br

=====

- What is the formula in the first record?
  MnTe4Br